Entry 1:
Material: NaCd2Pd
Method: DFT, PBE
State: relaxed

a b c (Å): 5.556 5.556 8.081
angles (deg): 90.00 90.00 134.57
Fractional coordinates of all 8 atoms:
Na (0.060, 0.940, 0.750)
Na (0.940, 0.060, 0.250)
Cd (0.358, 0.642, 0.556)
Cd (0.358, 0.642, 0.944)
Cd (0.642, 0.358, 0.056)
Cd (0.642, 0.358, 0.444)
Pd (0.232, 0.768, 0.250)
Pd (0.768, 0.232, 0.750)

Summary:
The electronic total energy comes out at -2.3239 eV per atom. The formation energy is -0.238 eV per atom. The density comes out at 6.62 g cm⁻³.



Entry 2:
Material: NaCdPd
Method: DFT, PBE
State: relaxed

a b c (Å): 5.762 5.762 5.762
angles (deg): 144.88 144.88 50.51
Fractional coordinates of all 3 atoms:
Na (0.000, 0.000, 0.000)
Cd (0.702, 0.702, 0.000)
Pd (0.323, 0.323, 0.000)

Summary:
The electronic total energy comes out at -2.6494 eV per atom. Its distance to the lowest polymorph of the same formula is 117 meV/atom. The formation energy is -0.174 eV per atom. The density comes out at 6.37 g cm⁻³.



Entry 3:
Material: NaCd2Pd5
Method: DFT, PBE
State: relaxed

a b c (Å): 5.699 5.699 5.699
angles (deg): 118.09 118.09 93.35
Fractional coordinates of all 8 atoms:
Na (0.000, 0.000, 0.000)
Cd (0.000, 0.500, 0.500)
Cd (0.500, 0.000, 0.500)
Pd (0.000, 0.000, 0.500)
Pd (0.000, 0.500, 0.000)
Pd (0.500, 0.000, 0.000)
Pd (0.500, 0.500, 0.000)
Pd (0.500, 0.500, 0.500)

Summary:
The electronic total energy comes out at -3.8937 eV per atom. The formation energy is -0.254 eV per atom. The density comes out at 9.63 g cm⁻³.



Entry 4:
Material: Na2Cd2Pd
Method: DFT, PBE
State: relaxed

a b c (Å): 7.101 7.101 4.951
angles (deg): 90.00 90.00 90.00
Fractional coordinates of all 10 atoms:
Na (0.176, 0.324, 0.000)
Na (0.324, 0.824, 0.000)
Na (0.676, 0.176, 0.000)
Na (0.824, 0.676, 0.000)
Cd (0.145, 0.645, 0.500)
Cd (0.355, 0.145, 0.500)
Cd (0.645, 0.855, 0.500)
Cd (0.855, 0.355, 0.500)
Pd (0.000, 0.000, 0.500)
Pd (0.500, 0.500, 0.500)

Summary:
The electronic total energy comes out at -2.0353 eV per atom. Its distance to the lowest polymorph of the same formula is 80 meV/atom. The formation energy is -0.103 eV per atom. The density comes out at 5.02 g cm⁻³.



Entry 5:
Material: Na3CdPd2
Method: DFT, PBE
State: relaxed

a b c (Å): 5.320 5.320 4.958
angles (deg): 90.00 90.00 120.00
Fractional coordinates of all 6 atoms:
Na (0.000, 0.500, 0.000)
Na (0.500, 0.000, 0.000)
Na (0.500, 0.500, 0.000)
Cd (0.000, 0.000, 0.500)
Pd (0.333, 0.667, 0.500)
Pd (0.667, 0.333, 0.500)

Summary:
The electronic total energy comes out at -2.5155 eV per atom. The formation energy is 0.027 eV per atom. The density comes out at 5.39 g cm⁻³.



Entry 6:
Material: NaCd2Pd
Method: DFT, PBE
State: relaxed

a b c (Å): 4.404 4.404 4.058
angles (deg): 90.00 90.00 90.00
Fractional coordinates of all 4 atoms:
Na (0.000, 0.000, 0.000)
Cd (0.000, 0.500, 0.500)
Cd (0.500, 0.000, 0.500)
Pd (0.500, 0.500, 0.000)

Summary:
The electronic total energy comes out at -2.2512 eV per atom. The formation energy is -0.166 eV per atom. The density comes out at 7.47 g cm⁻³.



Entry 7:
Material: NaCdPd3
Method: DFT, PBE
State: relaxed

a b c (Å): 6.150 5.168 5.115
angles (deg): 73.45 53.67 52.88
Fractional coordinates of all 5 atoms:
Na (0.000, 0.000, 0.000)
Cd (0.350, 0.350, 0.650)
Pd (0.230, 0.230, 0.270)
Pd (0.663, 0.663, 0.337)
Pd (0.730, 0.730, 0.770)

Summary:
The electronic total energy comes out at -3.5672 eV per atom. Its distance to the lowest polymorph of the same formula is 0 meV/atom. The formation energy is -0.005 eV per atom. The density comes out at 7.28 g cm⁻³.



Entry 8:
Material: NaCdPd3
Method: DFT, PBE
State: relaxed

a b c (Å): 5.053 5.053 5.053
angles (deg): 90.00 90.00 90.00
Fractional coordinates of all 5 atoms:
Na (0.000, 0.000, 0.000)
Cd (0.500, 0.500, 0.500)
Pd (0.000, 0.500, 0.500)
Pd (0.500, 0.000, 0.500)
Pd (0.500, 0.500, 0.000)

Summary:
The electronic total energy comes out at -3.0738 eV per atom. Its distance to the lowest polymorph of the same formula is 493 meV/atom. The formation energy is 0.489 eV per atom. The density comes out at 5.85 g cm⁻³.